1.
The following is a GGA-PBE calculation of Cd3SbO6 after structural relaxation, from Alexandria.

```
data_Cd3SbO6
_chemical_formula_sum 'Cd18 Sb6 O36'
_symmetry_space_group_name_H-M 'R -3'
_symmetry_Int_Tables_number 148
_symmetry_space_group_name_Hall '-R 3'
_cell_length_a 9.3533
_cell_length_b 9.3533
_cell_length_c 11.3268
_cell_angle_alpha 90.00
_cell_angle_beta 90.00
_cell_angle_gamma 120.00
loop_
_atom_site_label
_atom_site_type_symbol
_atom_site_fract_x
_atom_site_fract_y
_atom_site_fract_z
Cd1 Cd 0.0405 0.2637 0.2112
Sb1 Sb 0.0000 0.0000 0.0000
Sb2 Sb 0.0000 0.0000 0.5000
O1 O 0.0305 0.1827 0.8899
O2 O 0.0314 0.1973 0.4058
```

Properties
D(E_F)	0.6788	states/eV/atom
total magnetization	6.34	μB per cell
raw total energy	-286.7	eV/cell
formation energy without anion corrections	-1.1172	eV/atom

***

2.
The following is a GGA-PBE calculation of Cd2Sb2O after structural relaxation, from Alexandria.

```
data_Cd2Sb2O
_chemical_formula_sum 'Cd4 Sb4 O2'
_symmetry_space_group_name_H-M 'I 4/m m m'
_symmetry_Int_Tables_number 139
_symmetry_space_group_name_Hall '-I 4 2'
_cell_length_a 4.070
_cell_length_b 4.070
_cell_length_c 15.711
_cell_angle_alpha 90.00
_cell_angle_beta 90.00
_cell_angle_gamma 90.00
loop_
_atom_site_label
_atom_site_type_symbol
_atom_site_fract_x
_atom_site_fract_y
_atom_site_fract_z
Cd1 Cd 0.000 0.000 0.085
Sb1 Sb 0.000 0.500 0.250
O1 O 0.000 0.000 0.500
```

Properties
D(E_F)	0.6476	states/eV/atom
total magnetization	0.43	μB per cell
raw total energy	-25.9	eV/cell
formation energy without anion corrections	0.4187	eV/atom
distance to the lowest polymorph of the same formula	533	meV per atom

***

3.
The following is a GGA-PBE calculation of CdSb2O after structural relaxation, from Alexandria.

```
data_CdSb2O
_chemical_formula_sum 'Cd4 Sb8 O4'
_symmetry_space_group_name_H-M 'I -4 2 d'
_symmetry_Int_Tables_number 122
_symmetry_space_group_name_Hall 'I -4 2bw'
_cell_length_a 5.453
_cell_length_b 5.453
_cell_length_c 14.020
_cell_angle_alpha 90.00
_cell_angle_beta 90.00
_cell_angle_gamma 90.00
loop_
_atom_site_label
_atom_site_type_symbol
_atom_site_fract_x
_atom_site_fract_y
_atom_site_fract_z
Cd1 Cd 0.000 0.000 0.000
Sb1 Sb 0.121 0.250 0.625
O1 O 0.000 0.000 0.500
```

Properties
D(E_F)	0.2554	states/eV/atom
total magnetization	0.00	μB per cell
raw total energy	-59.4	eV/cell
formation energy without anion corrections	-0.1805	eV/atom
distance to the lowest polymorph of the same formula	0	meV per atom

***

4.
The following is a GGA-PBE calculation of CdSb3O after structural relaxation, from Alexandria.

```
data_CdSb3O
_chemical_formula_sum 'Cd1 Sb3 O1'
_symmetry_space_group_name_H-M 'P m -3 m'
_symmetry_Int_Tables_number 221
_symmetry_space_group_name_Hall '-P 4 2 3'
_cell_length_a 5.474
_cell_length_b 5.474
_cell_length_c 5.474
_cell_angle_alpha 90.00
_cell_angle_beta 90.00
_cell_angle_gamma 90.00
loop_
_atom_site_label
_atom_site_type_symbol
_atom_site_fract_x
_atom_site_fract_y
_atom_site_fract_z
Cd1 Cd 0.000 0.000 0.000
Sb1 Sb 0.000 0.000 0.500
O1 O 0.500 0.500 0.500
```

Properties
D(E_F)	4.4017	states/eV/atom
total magnetization	0.00	μB per cell
raw total energy	-11.9	eV/cell
formation energy without anion corrections	1.2642	eV/atom